This record from the Alexandria database describes LaSbAuS after structural relaxation. The functional is PBE-GGA.

E_form (uncorrected): -435.8 kJ/mol of formula units
space group: No. 166

Geometry as POSCAR:
```
LaSbAuS
1.0
2.346 1.354 11.472
-2.346 1.354 11.472
0.000 -2.708 11.472
La Sb Au S
2 2 2 2
Direct
0.112 0.112 0.112
0.888 0.888 0.888
0.294 0.294 0.294
0.706 0.706 0.706
0.380 0.380 0.380
0.620 0.620 0.620
0.197 0.197 0.197
0.803 0.803 0.803
```

This record from the Alexandria database describes SrAlTe2 after structural relaxation. The functional is PBE-GGA.

E_form (uncorrected): -239.4 kJ/mol of formula units
space group: No. 123

Geometry as POSCAR:
```
SrAlTe2
1.0
5.439 0.000 0.000
0.000 5.439 0.000
0.000 0.000 3.965
Sr Al Te
1 1 2
Direct
0.000 0.000 0.000
0.500 0.500 0.000
0.000 0.500 0.500
0.500 0.000 0.500
```

Look up the E_form (uncorrected) of the second one. -239.4 kJ/mol of formula units